No. 1
An optimized crystal structure of ScNiMo2, computed with PBE-GGA.

The structure in POSCAR format:
```
ScNiMo2
1.0
2.724 0.012 0.000
-0.287 2.709 0.000
0.000 0.000 8.512
Mo Ni Sc
2 1 1
direct
0.000 0.000 0.031
0.000 0.000 0.469
0.500 0.500 0.250
0.500 0.500 0.750
```

Computed properties:
Its size of the total moment is 0.0 μB/f.u. As for the formation energy: 0.12 eV/atom. The calculation puts the calculated total energy at -33.29 eV for the cell shown.

***

No. 2
An optimized crystal structure of Sc2NiMo, computed with PBE-GGA.

The structure in POSCAR format:
```
Sc2NiMo
1.0
5.338 0.008 0.000
2.498 4.717 0.000
-3.918 -2.363 2.750
Mo Ni Sc
1 1 2
direct
0.500 0.500 0.000
0.750 0.250 0.500
0.000 0.000 0.000
0.250 0.750 0.500
```

Computed properties:
Its size of the total moment is 0.0 μB/f.u. As for the formation energy: 0.07 eV/atom. The calculation puts the calculated total energy at -29.01 eV for the cell shown.

***

No. 3
An optimized crystal structure of ScNiMo2, computed with PBE-GGA.

The structure in POSCAR format:
```
ScNiMo2
1.0
-0.617 -0.753 5.278
0.351 -3.547 4.013
3.645 0.276 2.179
Mo Ni Sc
2 1 1
direct
0.012 0.012 0.988
0.488 0.488 0.512
0.750 0.750 0.750
0.250 0.250 0.250
```

Computed properties:
Its size of the total moment is 0.0 μB/f.u. As for the formation energy: 0.04 eV/atom. The calculation puts the calculated total energy at -33.62 eV for the cell shown.

***

No. 4
An optimized crystal structure of ScNiMo2, computed with PBE-GGA.

The structure in POSCAR format:
```
ScNiMo2
1.0
4.832 0.007 0.022
4.059 2.623 0.022
0.774 0.229 5.044
Mo Ni Sc
2 1 1
direct
0.010 0.010 0.970
0.776 0.776 0.773
0.485 0.485 0.465
0.229 0.229 0.291
```

Computed properties:
Its size of the total moment is 0.0 μB/f.u. As for the formation energy: 0.14 eV/atom. The calculation puts the calculated total energy at -33.21 eV for the cell shown.

***

No. 5
An optimized crystal structure of Sc2NiMo2, computed with PBE-GGA.

The structure in POSCAR format:
```
Sc2NiMo2
1.0
6.560 0.000 0.000
0.000 6.560 0.000
0.000 0.000 4.319
Sc Ni Mo
4 2 4
direct
0.338 0.838 0.000
0.838 0.662 0.000
0.662 0.162 0.000
0.162 0.338 0.000
0.000 0.000 0.000
0.500 0.500 0.000
0.131 0.631 0.500
0.631 0.869 0.500
0.869 0.369 0.500
0.369 0.131 0.500
```

Computed properties:
Its size of the total moment is 0.0 μB/f.u. As for the formation energy: 0.51 eV/atom. The calculation puts the calculated total energy at -75.15 eV for the cell shown.

***

No. 6
An optimized crystal structure of ScNiMo2, computed with PBE-GGA.

The structure in POSCAR format:
```
ScNiMo2
1.0
2.724 0.000 0.000
0.000 2.724 0.000
0.000 0.000 8.477
Mo Ni Sc
2 1 1
direct
0.000 0.000 0.031
0.000 0.000 0.469
0.500 0.500 0.250
0.500 0.500 0.750
```

Computed properties:
Its size of the total moment is 0.0 μB/f.u. As for the formation energy: 0.12 eV/atom. The calculation puts the calculated total energy at -33.28 eV for the cell shown.

***

No. 7
An optimized crystal structure of ScNiMo2, computed with PBE-GGA.

The structure in POSCAR format:
```
ScNiMo2
1.0
4.716 0.000 0.000
0.000 2.766 -0.012
0.000 0.879 4.872
Mo Ni Sc
2 1 1
direct
0.000 0.037 0.997
0.000 0.463 0.503
0.500 0.250 0.250
0.500 0.750 0.750
```

Computed properties:
Its size of the total moment is 0.0 μB/f.u. As for the formation energy: 0.13 eV/atom. The calculation puts the calculated total energy at -33.26 eV for the cell shown.

***

No. 8
An optimized crystal structure of ScNiMo2, computed with PBE-GGA.

The structure in POSCAR format:
```
ScNiMo2
1.0
-0.214 -2.482 1.150
2.648 0.175 -0.695
1.786 3.401 7.667
Mo Ni Sc
2 1 1
direct
0.000 0.000 0.010
0.500 0.500 0.270
0.000 0.000 0.491
0.500 0.500 0.729
```

Computed properties:
Its size of the total moment is 0.0 μB/f.u. As for the formation energy: 0.05 eV/atom. The calculation puts the calculated total energy at -33.58 eV for the cell shown.

***

Which of these has the lowest calculated total energy? Sc2NiMo2